{
  "formula": "HfMnGe2O8",
  "functional": "GGA+U",
  "state": "relaxed",
  "spacegroup": "I-4m2",
  "total_energy_ev_per_cell": -88.32,
  "m_tot_mub_per_fu": 3.0,
  "lattice": [[-3.308, 3.308, 3.207], [3.308, -3.308, 3.207], [3.308, 3.308, -3.207]],
  "species": ["Hf", "Mn", "Ge", "Ge", "O", "O", "O", "O", "O", "O", "O", "O"],
  "fractional_positions": [[0.000, 0.000, 0.000], [0.250, 0.750, 0.500], [0.500, 0.500, 0.000], [0.750, 0.250, 0.500], [0.302, 0.112, 0.810], [0.302, 0.492, 0.190], [0.371, 0.066, 0.306], [0.508, 0.698, 0.810], [0.760, 0.066, 0.694], [0.888, 0.698, 0.190], [0.934, 0.240, 0.306], [0.934, 0.629, 0.694]]
}